Entry 1:
A relaxed Tb2PrNd2Mg crystal. Source: Alexandria via LeMat-Bulk, functional PBE.

Structure (extended XYZ):
```
12
Lattice="6.172 0.000 0.000 0.000 18.924 0.000 0.000 0.000 3.443" Properties=species:S:1:pos:R:3 pbc="T T T"
Tb 0.976 3.834 0.000
Tb 2.110 13.296 1.722
Tb 4.062 5.628 1.722
Tb 5.196 15.090 0.000
Pr 0.000 0.000 0.000
Pr 3.086 9.462 1.722
Nd 0.976 6.847 1.722
Nd 2.110 16.309 0.000
Nd 4.062 2.615 0.000
Nd 5.196 12.077 1.722
Mg 0.000 9.462 0.000
Mg 3.086 0.000 1.722
```

Formation energy from the elements in eV per atom: 0.223
Density of states at the Fermi level in states/eV/atom: 1.44
Volume in Å³/cell: 402.1

=====

Entry 2:
A relaxed Rb3HfCl7 crystal. Source: Alexandria via LeMat-Bulk, functional PBE.

Structure (extended XYZ):
```
11
Lattice="5.430 -5.250 0.000 5.430 5.250 0.000 -4.833 0.000 6.539" Properties=species:S:1:pos:R:3 pbc="T T T"
Rb 0.000 0.000 0.000
Rb 2.706 2.475 3.693
Rb 2.706 -2.475 3.693
Hf 5.334 0.000 0.767
Cl -0.114 1.547 5.349
Cl 2.974 0.000 1.547
Cl 5.439 2.430 1.666
Cl -0.114 -1.547 5.349
Cl 2.809 0.000 6.452
Cl 6.416 0.000 3.255
Cl 5.439 -2.430 1.666
```

Density of states at the Fermi level in states/eV/atom: 0.00
Formation energy (no corrections) in eV/atom: -1.885
Volume in Å³/cell: 372.8

=====

Entry 3:
A relaxed Ge3AsH crystal. Source: Alexandria via LeMat-Bulk, functional PBE.

Structure (extended XYZ):
```
5
Lattice="5.113 0.000 0.000 0.000 5.113 0.000 0.000 0.000 5.113" Properties=species:S:1:pos:R:3 pbc="T T T"
Ge 0.000 0.000 2.556
Ge 0.000 2.556 0.000
Ge 2.556 0.000 0.000
As 0.000 0.000 0.000
H 2.556 2.556 2.556
```

Density of states at the Fermi level in states/eV/atom: 0.64
Energy above the most stable polymorph in this dataset in eV per atom: 0.7174
Volume in Å³/cell: 133.6

=====

Entry 4:
A relaxed MgCuSi crystal. Source: Alexandria via LeMat-Bulk, functional PBE.

Structure (extended XYZ):
```
3
Lattice="2.964 0.000 0.000 -1.482 2.567 0.000 0.000 0.000 6.204" Properties=species:S:1:pos:R:3 pbc="T T T"
Mg 0.000 0.000 0.000
Cu 0.000 1.711 4.050
Si 1.482 0.856 2.275
```

Density of states at the Fermi level in states/eV/atom: 0.43
Formation energy (no corrections) in eV/atom: 0.117
Volume in Å³/cell: 47.2

=====

Entry 5:
A relaxed Zr2CoAs crystal. Source: Alexandria via LeMat-Bulk, functional PBE.

Structure (extended XYZ):
```
4
Lattice="2.126 -2.494 0.000 2.126 2.494 0.000 0.000 0.000 6.864" Properties=species:S:1:pos:R:3 pbc="T T T"
Zr 0.000 0.000 0.000
Zr 2.126 0.000 2.282
Co 2.126 0.000 5.346
As 0.000 0.000 4.092
```

Formation energy from the elements in eV per atom: -0.263
Density of states at the Fermi level in states/eV/atom: 1.16
Volume in Å³/cell: 72.8

=====

Entry 6:
A relaxed Ca12InAg5 crystal. Source: Alexandria via LeMat-Bulk, functional PBE.

Structure (extended XYZ):
```
18
Lattice="-4.961 5.067 5.615 4.961 -5.067 5.615 4.961 5.067 -5.615" Properties=species:S:1:pos:R:3 pbc="T T T"
Ca 4.961 3.126 -2.879
Ca 2.807 1.851 0.000
Ca 7.116 1.851 0.000
Ca 1.991 5.067 -1.869
Ca 2.970 0.000 3.746
Ca 0.000 1.941 2.736
Ca 4.961 3.126 2.879
Ca 1.991 5.067 1.869
Ca 2.970 0.000 7.485
Ca -2.154 3.216 5.615
Ca 2.154 3.216 5.615
Ca 0.000 1.941 8.495
In 0.000 0.000 5.615
Ag 0.000 0.000 0.000
Ag 4.961 0.000 1.438
Ag 0.000 3.420 0.000
Ag 0.000 6.714 0.000
Ag 0.000 5.067 4.177
```

Formation energy from the elements in eV per atom: -0.262
Density of states at the Fermi level in states/eV/atom: 0.67
Volume in Å³/cell: 564.6